## MgSbAsW2 (PBE-GGA)

Data for a geometry-optimized MgSbAsW2 structure.

Computed properties:
E_form (uncorrected) ... 2.020 eV/atom
E above lowest polymorph ... 0.6227 eV per atom

```
5
Lattice="4.8657 0.0000 0.0000 0.0000 4.8657 0.0000 0.0000 0.0000 4.4223" Properties=species:S:1:pos:R:3 pbc="T T T"
Mg 0.0000 0.0000 0.0000
Sb 2.4329 2.4329 2.2112
As 0.0000 0.0000 2.2112
W 0.0000 2.4329 0.0000
W 2.4329 0.0000 0.0000
```



## Sr2CaNb (PBE-GGA)

Data for a geometry-optimized Sr2CaNb structure.

Computed properties:
DFT formation energy ... 3.66 eV/f.u.
E above lowest polymorph ... 0.2240 eV per atom

```
8
Lattice="-4.7047 4.7047 3.5100 4.7047 -4.7047 3.5100 4.7047 4.7047 -3.5100" Properties=species:S:1:pos:R:3 pbc="T T T"
Sr 7.0570 2.0495 -0.8775
Sr 2.0495 2.3523 0.8775
Sr -2.3523 2.6551 2.6325
Sr 2.6551 2.3523 4.3875
Ca 4.7047 0.0000 1.7550
Ca 0.0000 0.0000 3.5100
Nb 0.0000 0.0000 0.0000
Nb 0.0000 4.7047 1.7550
```